No. 1
The following is a DFT calculation (PBEsol) of a relaxed LiTaIr2 crystal.

Cell: 4.8613 4.8613 4.8613 Å, 134.97 134.97 65.57°
Element x y z (fractional)
Li: 0.0000 0.0000 0.0000
Ta: 0.7500 0.2500 0.5000
Ir: 0.2500 0.7500 0.5000
Ir: 0.5000 0.5000 0.0000

D(E_F) ... 0.51 states/eV/atom
Crystal system ... tetragonal
Electronic total energy ... -8.845 eV per atom
Theoretical density ... 16.780 g cm⁻³
Space-group type ... I-4m2, No. 119
Energy of formation ... -0.303 eV per atom

***

No. 2
The following is a DFT calculation (PBEsol) of a relaxed LiTaIr2 crystal.

Cell: 4.4685 4.4685 4.9195 Å, 96.79 96.79 35.97°
Element x y z (fractional)
Li: 0.0000 0.0000 0.0000
Ta: 0.5000 0.5000 0.5000
Ir: 0.2497 0.2497 0.7674
Ir: 0.7503 0.7503 0.2326

D(E_F) ... 0.57 states/eV/atom
Crystal system ... monoclinic
Electronic total energy ... -8.763 eV per atom
Theoretical density ... 16.601 g cm⁻³
Space-group type ... C2/m, No. 12
Energy of formation ... -0.222 eV per atom

***

No. 3
The following is a DFT calculation (PBEsol) of a relaxed LiTaIr2 crystal.

Cell: 4.3088 4.3088 4.3088 Å, 60.00 60.00 60.00°
Element x y z (fractional)
Li: 0.0000 0.0000 0.0000
Ta: 0.5000 0.5000 0.5000
Ir: 0.2500 0.2500 0.2500
Ir: 0.7500 0.7500 0.7500

D(E_F) ... 0.06 states/eV/atom
Crystal system ... cubic
Electronic total energy ... -9.109 eV per atom
Theoretical density ... 16.801 g cm⁻³
Space-group type ... Fm-3m, No. 225
Energy of formation ... -0.567 eV per atom

***

No. 4
The following is a DFT calculation (PBEsol) of a relaxed LiTaIr2 crystal.

Cell: 4.3338 4.3338 4.3338 Å, 60.00 60.00 60.00°
Element x y z (fractional)
Li: 0.0000 0.0000 0.0000
Ta: 0.7500 0.7500 0.7500
Ir: 0.2500 0.2500 0.2500
Ir: 0.5000 0.5000 0.5000

D(E_F) ... 1.22 states/eV/atom
Crystal system ... cubic
Electronic total energy ... -8.568 eV per atom
Theoretical density ... 16.512 g cm⁻³
Space-group type ... F-43m, No. 216
Energy of formation ... -0.027 eV per atom

***

No. 5
The following is a DFT calculation (PBEsol) of a relaxed Li4TaIr crystal.

Cell: 4.7168 4.7168 4.7168 Å, 60.00 60.00 60.00°
Element x y z (fractional)
Li: 0.1219 0.1219 0.1219
Li: 0.1219 0.1219 0.6342
Li: 0.1219 0.6342 0.1219
Li: 0.6342 0.1219 0.1219
Ta: 0.5000 0.5000 0.5000
Ir: 0.7500 0.7500 0.7500

D(E_F) ... 0.16 states/eV/atom
Crystal system ... cubic
Electronic total energy ... -4.883 eV per atom
Theoretical density ... 8.972 g cm⁻³
Space-group type ... F-43m, No. 216
Energy of formation ... 0.157 eV per atom

***

No. 6
The following is a DFT calculation (PBEsol) of a relaxed LiTb2Ir crystal.

Cell: 4.8651 4.8651 4.8651 Å, 60.00 60.00 60.00°
Element x y z (fractional)
Li: 0.0000 0.0000 0.0000
Tb: 0.2500 0.2500 0.2500
Tb: 0.7500 0.7500 0.7500
Ir: 0.5000 0.5000 0.5000

D(E_F) ... 0.49 states/eV/atom
Crystal system ... cubic
Electronic total energy ... -5.985 eV per atom
Theoretical density ... 10.544 g cm⁻³
Space-group type ... Fm-3m, No. 225
Energy of formation ... -0.532 eV per atom

***

No. 7
The following is a DFT calculation (PBEsol) of a relaxed LiTc2Ir crystal.

Cell: 2.6360 2.6360 9.0555 Å, 90.00 90.00 116.61°
Element x y z (fractional)
Li: 0.0000 0.0000 0.0000
Tc: 0.0000 0.0000 0.4980
Tc: 0.5000 0.5000 0.7375
Ir: 0.5000 0.5000 0.2436

D(E_F) ... 0.81 states/eV/atom
Crystal system ... orthorhombic
Electronic total energy ... -8.389 eV per atom
Theoretical density ... 11.664 g cm⁻³
Space-group type ... Cmm2, No. 35
Energy of formation ... 0.192 eV per atom

***

No. 8
The following is a DFT calculation (PBEsol) of a relaxed LiTcIr crystal.

Cell: 4.0248 4.0248 4.0248 Å, 60.00 60.00 60.00°
Element x y z (fractional)
Li: 0.0000 0.0000 0.0000
Tc: 0.7500 0.7500 0.7500
Ir: 0.5000 0.5000 0.5000

D(E_F) ... 0.85 states/eV/atom
Crystal system ... cubic
Electronic total energy ... -7.230 eV per atom
Theoretical density ... 10.703 g cm⁻³
Space-group type ... F-43m, No. 216
Energy of formation ... 0.455 eV per atom

***

No. 9
The following is a DFT calculation (PBEsol) of a relaxed Li2TcIr crystal.

Cell: 4.8615 4.8615 4.4459 Å, 101.64 101.64 31.81°
Element x y z (fractional)
Li: 0.2448 0.2448 0.2447
Li: 0.7552 0.7552 0.7553
Tc: 0.0000 0.0000 0.5000
Ir: 0.5000 0.5000 0.0000

D(E_F) ... 0.92 states/eV/atom
Crystal system ... monoclinic
Electronic total energy ... -6.186 eV per atom
Theoretical density ... 9.325 g cm⁻³
Space-group type ... C2/m, No. 12
Energy of formation ... 0.070 eV per atom

***

No. 10
The following is a DFT calculation (PBEsol) of a relaxed Li2TcIr crystal.

Cell: 4.1463 4.1463 4.1463 Å, 60.00 60.00 60.00°
Element x y z (fractional)
Li: 0.0000 0.0000 0.0000
Li: 0.2500 0.2500 0.2500
Tc: 0.5000 0.5000 0.5000
Ir: 0.7500 0.7500 0.7500

D(E_F) ... 0.42 states/eV/atom
Crystal system ... cubic
Electronic total energy ... -6.283 eV per atom
Theoretical density ... 10.019 g cm⁻³
Space-group type ... F-43m, No. 216
Energy of formation ... -0.028 eV per atom

***

No. 11
The following is a DFT calculation (PBEsol) of a relaxed Li2TcIr crystal.

Cell: 2.6511 2.6511 9.3705 Å, 90.00 90.00 116.94°
Element x y z (fractional)
Li: 0.0000 0.0000 0.0000
Li: 0.5000 0.5000 0.2838
Tc: 0.0000 0.0000 0.5321
Ir: 0.5000 0.5000 0.7666

D(E_F) ... 0.81 states/eV/atom
Crystal system ... orthorhombic
Electronic total energy ... -6.080 eV per atom
Theoretical density ... 8.601 g cm⁻³
Space-group type ... Cmm2, No. 35
Energy of formation ... 0.176 eV per atom

***

No. 12
The following is a DFT calculation (PBEsol) of a relaxed LiTc2Ir crystal.

Cell: 3.6226 3.6226 4.0375 Å, 90.00 90.00 90.00°
Element x y z (fractional)
Li: 0.0000 0.0000 0.0000
Tc: 0.0000 0.5000 0.5000
Tc: 0.5000 0.0000 0.5000
Ir: 0.5000 0.5000 0.0000

D(E_F) ... 0.93 states/eV/atom
Crystal system ... tetragonal
Electronic total energy ... -8.361 eV per atom
Theoretical density ... 12.384 g cm⁻³
Space-group type ... P4/mmm, No. 123
Energy of formation ... 0.220 eV per atom

***

No. 13
The following is a DFT calculation (PBEsol) of a relaxed Li2TcIr crystal.

Cell: 2.6646 3.9208 5.4225 Å, 90.00 90.00 90.00°
Element x y z (fractional)
Li: 0.0000 0.0000 0.0000
Li: 0.5000 0.5000 0.2162
Tc: 0.0000 0.0000 0.5278
Ir: 0.5000 0.5000 0.7010

D(E_F) ... 0.61 states/eV/atom
Crystal system ... orthorhombic
Electronic total energy ... -6.228 eV per atom
Theoretical density ... 8.914 g cm⁻³
Space-group type ... Pmm2, No. 25
Energy of formation ... 0.028 eV per atom

***

No. 14
The following is a DFT calculation (PBEsol) of a relaxed LiZn2TcIr crystal.

Cell: 4.7651 4.7651 4.6705 Å, 90.00 90.00 90.00°
Element x y z (fractional)
Li: 0.0000 0.0000 0.0000
Zn: 0.0000 0.5000 0.5000
Zn: 0.5000 0.0000 0.5000
Tc: 0.5000 0.5000 0.0000
Ir: 0.5000 0.5000 0.5000

D(E_F) ... 0.83 states/eV/atom
Crystal system ... tetragonal
Electronic total energy ... -4.493 eV per atom
Theoretical density ... 6.701 g cm⁻³
Space-group type ... P4/mmm, No. 123
Energy of formation ... 0.751 eV per atom

***

No. 15
The following is a DFT calculation (PBEsol) of a relaxed Li3TeIr crystal.

Cell: 4.5973 4.5973 4.5973 Å, 90.00 90.00 90.00°
Element x y z (fractional)
Li: 0.0000 0.0000 0.5000
Li: 0.0000 0.5000 0.0000
Li: 0.5000 0.0000 0.0000
Te: 0.5000 0.5000 0.5000
Ir: 0.0000 0.0000 0.0000

Formation energy (no corrections) ... 1.8 eV per formula unit
D(E_F) ... 0.92 states/eV/atom
Crystal system ... cubic
Electronic total energy ... -3.500 eV per atom
Theoretical density ... 5.821 g cm⁻³
Space-group type ... Pm-3m, No. 221

***

No. 16
The following is a DFT calculation (PBEsol) of a relaxed LiTeIr2 crystal.

Cell: 2.8413 4.5272 5.1672 Å, 90.00 102.02 90.00°
Element x y z (fractional)
Li: 0.0000 0.0000 0.0000
Te: 0.5000 0.0000 0.5000
Ir: 0.3463 0.5000 0.2145
Ir: 0.6537 0.5000 0.7855

Formation energy (no corrections) ... 0.5 eV per formula unit
D(E_F) ... 0.69 states/eV/atom
Crystal system ... monoclinic
Electronic total energy ... -6.167 eV per atom
Theoretical density ... 13.256 g cm⁻³
Space-group type ... P2/m, No. 10

***

No. 17
The following is a DFT calculation (PBEsol) of a relaxed LiTeIr2 crystal.

Cell: 8.9005 8.9005 8.9005 Å, 19.10 19.10 19.10°
Element x y z (fractional)
Li: 0.0000 0.0000 0.0000
Te: 0.7612 0.7612 0.7612
Ir: 0.2563 0.2563 0.2563
Ir: 0.5105 0.5105 0.5105

Formation energy (no corrections) ... 1.5 eV per formula unit
D(E_F) ... 1.25 states/eV/atom
Crystal system ... trigonal
Electronic total energy ... -5.917 eV per atom
Theoretical density ... 13.059 g cm⁻³
Space-group type ... R3m, No. 160

***

No. 18
The following is a DFT calculation (PBEsol) of a relaxed LiTeIr2 crystal.

Cell: 8.9881 8.9881 8.9881 Å, 18.52 18.52 18.52°
Element x y z (fractional)
Li: 0.0000 0.0000 0.0000
Te: 0.5000 0.5000 0.5000
Ir: 0.2527 0.2527 0.2527
Ir: 0.7473 0.7473 0.7473

Formation energy (no corrections) ... 1.8 eV per formula unit
D(E_F) ... 0.71 states/eV/atom
Crystal system ... trigonal
Electronic total energy ... -5.834 eV per atom
Theoretical density ... 13.472 g cm⁻³
Space-group type ... R-3m, No. 166

***

No. 19
The following is a DFT calculation (PBEsol) of a relaxed LiTeIr2 crystal.

Cell: 4.8684 4.8684 4.8684 Å, 133.31 133.31 68.17°
Element x y z (fractional)
Li: 0.0000 0.0000 0.0000
Te: 0.7500 0.2500 0.5000
Ir: 0.2500 0.7500 0.5000
Ir: 0.5000 0.5000 0.0000

Formation energy (no corrections) ... 0.3 eV per formula unit
D(E_F) ... 0.70 states/eV/atom
Crystal system ... tetragonal
Electronic total energy ... -6.200 eV per atom
Theoretical density ... 14.357 g cm⁻³
Space-group type ... I-4m2, No. 119

***

No. 20
The following is a DFT calculation (PBEsol) of a relaxed LiTeIr2 crystal.

Cell: 2.9329 3.9910 5.2494 Å, 90.00 90.00 90.00°
Element x y z (fractional)
Li: 0.0000 0.0000 0.0000
Te: 0.5000 0.5000 0.2864
Ir: 0.0000 0.0000 0.5246
Ir: 0.5000 0.5000 0.7862

Formation energy (no corrections) ... 0.5 eV per formula unit
D(E_F) ... 0.68 states/eV/atom
Crystal system ... orthorhombic
Electronic total energy ... -6.171 eV per atom
Theoretical density ... 14.025 g cm⁻³
Space-group type ... Pmm2, No. 25

***

No. 21
The following is a DFT calculation (PBEsol) of a relaxed LiTe2Ir crystal.

Cell: 6.8882 6.8882 6.8882 Å, 33.85 33.85 33.85°
Element x y z (fractional)
Li: 0.0000 0.0000 0.0000
Te: 0.2347 0.2347 0.2347
Te: 0.7653 0.7653 0.7653
Ir: 0.5000 0.5000 0.5000

Formation energy (no corrections) ... -1.6 eV per formula unit
D(E_F) ... 0.05 states/eV/atom
Crystal system ... trigonal
Electronic total energy ... -5.112 eV per atom
Theoretical density ... 8.351 g cm⁻³
Space-group type ... R-3m, No. 166

***

No. 22
The following is a DFT calculation (PBEsol) of a relaxed LiTiIr2 crystal.

Cell: 4.2179 4.2179 4.2179 Å, 60.00 60.00 60.00°
Element x y z (fractional)
Li: 0.0000 0.0000 0.0000
Ti: 0.5000 0.5000 0.5000
Ir: 0.2500 0.2500 0.2500
Ir: 0.7500 0.7500 0.7500

D(E_F) ... 0.57 states/eV/atom
Crystal system ... cubic
Electronic total energy ... -8.094 eV per atom
Theoretical density ... 13.746 g cm⁻³
Space-group type ... Fm-3m, No. 225
Energy of formation ... -0.610 eV per atom

***

No. 23
The following is a DFT calculation (PBEsol) of a relaxed LiTiIr3 crystal.

Cell: 4.5457 4.5457 4.5457 Å, 90.00 90.00 90.00°
Element x y z (fractional)
Li: 0.0000 0.0000 0.0000
Ti: 0.5000 0.5000 0.5000
Ir: 0.0000 0.5000 0.5000
Ir: 0.5000 0.0000 0.5000
Ir: 0.5000 0.5000 0.0000

D(E_F) ... 1.28 states/eV/atom
Crystal system ... cubic
Electronic total energy ... -6.877 eV per atom
Theoretical density ... 11.164 g cm⁻³
Space-group type ... Pm-3m, No. 221
Energy of formation ... 1.075 eV per atom

***

No. 24
The following is a DFT calculation (PBEsol) of a relaxed LiTi2Ir crystal.

Cell: 4.3393 4.3393 4.3393 Å, 60.00 60.00 60.00°
Element x y z (fractional)
Li: 0.0000 0.0000 0.0000
Ti: 0.2500 0.2500 0.2500
Ti: 0.7500 0.7500 0.7500
Ir: 0.5000 0.5000 0.5000

D(E_F) ... 0.49 states/eV/atom
Crystal system ... cubic
Electronic total energy ... -7.582 eV per atom
Theoretical density ... 8.476 g cm⁻³
Space-group type ... Fm-3m, No. 225
Energy of formation ... -0.473 eV per atom

***

No. 25
The following is a DFT calculation (PBEsol) of a relaxed LiTlIr2 crystal.

Cell: 8.9134 8.9134 8.9134 Å, 18.63 18.63 18.63°
Element x y z (fractional)
Li: 0.0000 0.0000 0.0000
Tl: 0.5000 0.5000 0.5000
Ir: 0.2527 0.2527 0.2527
Ir: 0.7473 0.7473 0.7473

D(E_F) ... 0.62 states/eV/atom
Crystal system ... trigonal
Electronic total energy ... -5.611 eV per atom
Theoretical density ... 15.662 g cm⁻³
Space-group type ... R-3m, No. 166
Energy of formation ... 0.449 eV per atom

***

No. 26
The following is a DFT calculation (PBEsol) of a relaxed Li2TlIr crystal.

Cell: 4.6188 4.6188 4.6188 Å, 125.92 125.92 80.02°
Element x y z (fractional)
Li: 0.0000 0.0000 0.0000
Li: 0.7500 0.2500 0.5000
Tl: 0.2500 0.7500 0.5000
Ir: 0.5000 0.5000 0.0000

D(E_F) ... 0.33 states/eV/atom
Crystal system ... tetragonal
Electronic total energy ... -4.174 eV per atom
Theoretical density ... 10.925 g cm⁻³
Space-group type ... I-4m2, No. 119
Energy of formation ... -0.077 eV per atom

***

No. 27
The following is a DFT calculation (PBEsol) of a relaxed Li2TlIr crystal.

Cell: 5.2715 5.2715 5.2715 Å, 145.38 129.66 62.54°
Element x y z (fractional)
Li: 0.2323 0.2323 0.0000
Li: 0.7677 0.7677 0.0000
Tl: 0.5000 0.0000 0.5000
Ir: 0.0000 0.5000 0.5000

D(E_F) ... 0.32 states/eV/atom
Crystal system ... orthorhombic
Electronic total energy ... -4.141 eV per atom
Theoretical density ... 10.755 g cm⁻³
Space-group type ... Immm, No. 71
Energy of formation ... -0.045 eV per atom

***

No. 28
The following is a DFT calculation (PBEsol) of a relaxed LiIrW2 crystal.

Cell: 2.6640 2.6640 9.4600 Å, 90.00 90.00 114.01°
Element x y z (fractional)
Li: 0.0000 0.0000 0.0000
Ir: 0.0000 0.0000 0.5000
W: 0.5000 0.5000 0.2593
W: 0.5000 0.5000 0.7407

D(E_F) ... 0.76 states/eV/atom
Crystal system ... orthorhombic
Electronic total energy ... -9.448 eV per atom
Theoretical density ... 15.347 g cm⁻³
Space-group type ... Cmmm, No. 65
Energy of formation ... 0.403 eV per atom

***

No. 29
The following is a DFT calculation (PBEsol) of a relaxed LiIr2W crystal.

Cell: 3.1781 3.1781 5.4909 Å, 90.00 90.00 90.00°
Element x y z (fractional)
Li: 0.0000 0.0000 0.0000
Ir: 0.0000 0.0000 0.4989
Ir: 0.5000 0.5000 0.8158
W: 0.5000 0.5000 0.2669

D(E_F) ... 0.80 states/eV/atom
Crystal system ... tetragonal
Electronic total energy ... -8.638 eV per atom
Theoretical density ... 17.223 g cm⁻³
Space-group type ... P4mm, No. 99
Energy of formation ... 0.217 eV per atom

***

No. 30
The following is a DFT calculation (PBEsol) of a relaxed LiIr2W crystal.

Cell: 4.4316 4.4316 4.4316 Å, 126.06 126.06 79.79°
Element x y z (fractional)
Li: 0.0000 0.0000 0.0000
Ir: 0.2500 0.7500 0.5000
Ir: 0.7500 0.2500 0.5000
W: 0.5000 0.5000 0.0000

D(E_F) ... 0.33 states/eV/atom
Crystal system ... tetragonal
Electronic total energy ... -9.079 eV per atom
Theoretical density ... 17.386 g cm⁻³
Space-group type ... I4/mmm, No. 139
Energy of formation ... -0.224 eV per atom

***

No. 31
The following is a DFT calculation (PBEsol) of a relaxed LiIr2W crystal.

Cell: 2.8957 2.8957 6.3112 Å, 90.00 90.00 90.00°
Element x y z (fractional)
Li: 0.0000 0.0000 0.0000
Ir: 0.5000 0.5000 0.2278
Ir: 0.5000 0.5000 0.7722
W: 0.0000 0.0000 0.5000

D(E_F) ... 0.55 states/eV/atom
Crystal system ... tetragonal
Electronic total energy ... -9.043 eV per atom
Theoretical density ... 18.049 g cm⁻³
Space-group type ... P4/mmm, No. 123
Energy of formation ... -0.188 eV per atom